ScMn2W | PBE-GGA | relaxed

It has space group Immm (No. 71), with a = 3.130 Å, b = 4.601 Å, c = 8.096 Å, α = 90.00°, β = 90.00° and γ = 90.00°. Symmetry generates all atoms from Sc at (0.000, 0.000, 0.000), Mn at (0.000, 0.500, 0.237) and W at (0.000, 0.000, 0.500).

The total magnetic moment comes out at 1.62 Bohr magnetons per cell. As for the energy relative to the elements: 0.281 eV/atom.

ScMn2W | PBE-GGA | relaxed

It has space group Pmm2 (No. 25), with a = 2.720 Å, b = 4.394 Å, c = 5.055 Å, α = 90.00°, β = 90.00° and γ = 90.00°. Symmetry generates all atoms from Sc at (0.000, 0.000, 0.000), Mn at (0.000, 0.000, 0.501), Mn at (0.500, 0.500, 0.807) and W at (0.500, 0.500, 0.317).

The total magnetic moment comes out at 2.94 Bohr magnetons per cell. As for the energy relative to the elements: 0.379 eV/atom.

Across the entries above, uncorrected energy takes the values -9.13, -9.03 eV/atom, respectively.